First-principles (PBE-GGA) data for crystalline Dy4GaTeSe2 at its relaxed geometry, as listed in the Alexandria database.

Properties
calculated density	8.0	g cm⁻³
raw formation energy	-1.3683	eV/atom
calculated volume	25.930	Å³/atom

abc: 7.259 4.098 7.363
angles: 90.00 108.73 90.00
Space group P2/m (No. 10)
Unique sites:
Dy (0.243, 0.000, 0.227) [2 per cell]
Dy (0.252, 0.500, 0.762) [2 per cell]
Ga (0.500, 0.000, 0.000) [1 per cell]
Te (0.500, 0.500, 0.500) [1 per cell]
Se (0.000, 0.000, 0.500) [1 per cell]
Se (0.000, 0.500, 0.000) [1 per cell]